Computed, not measured: a crystal of CuSiSb2 relaxed with PBEsol at the SCAN level of DFT.

abc: 3.071 5.044 5.044
angles: 90.00 90.00 90.00
Fractional positions:
Cu: 0.500 0.000 0.000
Sb: 0.000 0.500 0.000
Sb: 0.000 0.000 0.500
Si: 0.500 0.500 0.500

Values from the calculation:
Its size of the total moment is 0.00 μB per atom. Its energy relative to the elements, uncorrected is 51.60 kJ per mole of atoms. As for the crystal system: tetragonal. The space group is P4/mmm, No. 123. Its total energy is -97.597 eV per cell.